Record 1
Density functional theory data (GGA-PBE) for a relaxed La2Al2Cl crystal.

Properties
Energy ... -4.48 eV per atom
E_form (uncorrected) ... -3.23 eV/f.u.

Unit cell a=8.0284 b=8.0284 c=4.6774 alpha=90.00 beta=90.00 gamma=90.00
Fractional coordinates of all 10 atoms:
Al (0.1134, 0.6134, 0.5000)
Al (0.6134, 0.8866, 0.5000)
Al (0.8866, 0.3866, 0.5000)
Al (0.3866, 0.1134, 0.5000)
Cl (0.0000, 0.0000, 0.0000)
Cl (0.5000, 0.5000, 0.0000)
La (0.1782, 0.3218, 0.0000)
La (0.3218, 0.8218, 0.0000)
La (0.8218, 0.6782, 0.0000)
La (0.6782, 0.1782, 0.0000)

Record 2
Density functional theory data (GGA-PBE) for a relaxed Dy3Er2Cd6 crystal.

Properties
Energy ... -2.47 eV per atom
Formation enthalpy at 0 K ... 0.11 eV/atom

Unit cell a=4.9199 b=4.9199 c=14.3739 alpha=99.85 beta=99.85 gamma=90.00
Each line ends with the local moment (μB).
Fractional coordinates of all 11 atoms:
Er (0.3663, 0.3663, 0.7325)  0.08
Er (0.6337, 0.6337, 0.2675)  0.08
Cd (0.7462, 0.7462, 0.4925)  0.00
Cd (0.9336, 0.4336, 0.8673)  0.00
Cd (0.5664, 0.0664, 0.1327)  0.00
Cd (0.0664, 0.5664, 0.1327)  0.00
Cd (0.2537, 0.2538, 0.5075)  0.00
Cd (0.4336, 0.9336, 0.8673)  0.00
Dy (0.1398, 0.1398, 0.2795)  0.08
Dy (0.8602, 0.8602, 0.7205)  0.08
Dy (0.0000, 0.0000, 0.0000)  -0.01

Record 3
Density functional theory data (GGA-PBE) for a relaxed NaLaHg2Rh crystal.

Properties
Energy ... -3.11 eV per atom
Formation enthalpy at 0 K ... -0.27 eV/atom

Unit cell a=5.4485 b=5.4485 c=5.0928 alpha=90.00 beta=90.00 gamma=90.00
Fractional coordinates of all 5 atoms:
Na (0.5000, 0.5000, 0.5000)
Hg (0.0000, 0.5000, 0.0000)
Hg (0.5000, 0.0000, 0.0000)
La (0.0000, 0.0000, 0.5000)
Rh (0.0000, 0.0000, 0.0000)

Record 4
Density functional theory data (GGA-PBE) for a relaxed LaP5 crystal.

Properties
Energy ... -5.90 eV per atom
Formation enthalpy at 0 K ... -0.57 eV/atom

Unit cell a=9.7331 b=5.5938 c=9.8101 alpha=74.62 beta=90.00 gamma=90.00
Fractional coordinates of all 24 atoms:
P (0.2500, 0.5917, 0.6382)
P (0.9186, 0.4404, 0.6886)
P (0.0972, 0.5137, 0.8130)
P (0.2500, 0.5414, 0.1607)
P (0.0443, 0.8525, 0.8708)
P (0.5972, 0.4863, 0.1870)
P (0.9557, 0.1475, 0.1292)
P (0.7500, 0.4083, 0.3618)
P (0.7500, 0.4586, 0.8393)
P (0.5351, 0.0726, 0.6632)
P (0.4557, 0.8525, 0.8708)
P (0.0814, 0.5596, 0.3114)
P (0.4028, 0.5137, 0.8130)
P (0.5814, 0.4404, 0.6886)
P (0.5443, 0.1475, 0.1292)
P (0.9649, 0.0726, 0.6632)
P (0.4649, 0.9274, 0.3368)
P (0.9028, 0.4863, 0.1870)
P (0.4186, 0.5596, 0.3114)
P (0.0351, 0.9274, 0.3368)
La (0.7500, 0.8496, 0.4973)
La (0.2500, 0.0953, 0.0441)
La (0.7500, 0.9047, 0.9559)
La (0.2500, 0.1504, 0.5027)